A relaxed structure of GaAgSn2Se6, computed with PBE-GGA.

Geometry as POSCAR:
```
GaAgSn2Se6
1.0
7.015 -6.529 0.000
7.015 6.529 0.000
-2.844 0.000 6.605
Ga Ag Sn Se
2 2 4 12
Direct
0.180 0.820 0.750
0.820 0.180 0.250
0.209 0.791 0.250
0.791 0.209 0.750
0.213 0.377 0.303
0.377 0.213 0.803
0.623 0.787 0.197
0.787 0.623 0.697
0.020 0.173 0.093
0.099 0.634 0.420
0.173 0.020 0.593
0.299 0.447 0.029
0.366 0.901 0.080
0.447 0.299 0.529
0.553 0.701 0.471
0.634 0.099 0.920
0.701 0.553 0.971
0.827 0.980 0.407
0.901 0.366 0.580
0.980 0.827 0.907
```

Output
raw formation energy = -6.69 kcal/mol of atoms


A relaxed structure of LaPmPrEr, computed with PBE-GGA.

Geometry as POSCAR:
```
LaPmPrEr
1.0
8.228 0.000 0.000
0.000 8.228 0.000
0.000 0.000 8.228
La Pm Pr Er
4 4 4 4
Direct
0.000 0.000 0.000
0.000 0.500 0.500
0.500 0.000 0.500
0.500 0.500 0.000
0.250 0.250 0.750
0.250 0.750 0.250
0.750 0.250 0.250
0.750 0.750 0.750
0.000 0.000 0.500
0.000 0.500 0.000
0.500 0.000 0.000
0.500 0.500 0.500
0.250 0.250 0.250
0.250 0.750 0.750
0.750 0.250 0.750
0.750 0.750 0.250
```

Output
density of states at the Fermi level = 33.0 states/eV per cell
DFT formation energy = 0.440 eV/f.u.


A relaxed structure of Dy3TeRu, computed with PBE-GGA.

Geometry as POSCAR:
```
Dy3TeRu
1.0
6.067 -2.138 0.000
6.067 2.138 0.000
-2.715 0.000 10.365
Dy Te Ru
6 2 2
Direct
0.084 0.084 0.388
0.347 0.347 0.330
0.374 0.374 0.868
0.626 0.626 0.132
0.653 0.653 0.670
0.916 0.916 0.612
0.101 0.101 0.892
0.899 0.899 0.108
0.278 0.278 0.607
0.722 0.722 0.393
```

Output
density of states at the Fermi level = 6.3 states/eV per cell
relative energy among the computed polymorphs = 0 meV/atom
raw formation energy = -15.68 kcal/mol of atoms


A relaxed structure of CuNiOs, computed with PBE-GGA.

Geometry as POSCAR:
```
CuNiOs
1.0
2.713 0.000 0.000
0.000 4.394 0.000
0.000 0.000 12.973
Cu Ni Os
4 4 4
Direct
0.000 0.000 0.000
0.000 0.500 0.500
0.500 0.000 0.500
0.500 0.500 0.000
0.000 0.000 0.341
0.000 0.500 0.841
0.500 0.000 0.841
0.500 0.500 0.341
0.000 0.000 0.676
0.000 0.500 0.176
0.500 0.000 0.176
0.500 0.500 0.676
```

Output
density of states at the Fermi level = 16.1 states/eV per cell
relative energy among the computed polymorphs = 193 meV/atom
DFT formation energy = 1.018 eV/f.u.


A relaxed structure of PmYEr2Se4, computed with PBE-GGA.

Geometry as POSCAR:
```
PmYEr2Se4
1.0
7.050 0.000 0.000
0.000 4.031 0.000
-2.312 0.000 6.812
Pm Y Er Se
1 1 2 4
Direct
0.000 0.000 0.000
0.500 0.500 0.000
0.000 0.500 0.500
0.500 0.000 0.500
0.251 0.000 0.741
0.258 0.500 0.262
0.742 0.500 0.738
0.749 0.000 0.259
```

Output
density of states at the Fermi level = 4.4 states/eV per cell
raw formation energy = -40.27 kcal/mol of atoms


A relaxed structure of GaHgPd3, computed with PBE-GGA.

Geometry as POSCAR:
```
GaHgPd3
1.0
4.645 0.000 0.000
0.000 4.645 0.000
0.000 0.000 4.645
Ga Hg Pd
1 1 3
Direct
0.000 0.000 0.000
0.500 0.500 0.500
0.000 0.000 0.500
0.000 0.500 0.000
0.500 0.000 0.000
```

Output
density of states at the Fermi level = 3.6 states/eV per cell
relative energy among the computed polymorphs = 444 meV/atom
DFT formation energy = 0.628 eV/f.u.


A relaxed structure of BaSr2Cr, computed with PBE-GGA.

Geometry as POSCAR:
```
BaSr2Cr
1.0
4.177 0.000 0.000
0.000 4.177 0.000
0.000 0.000 10.405
Ba Sr Cr
1 2 1
Direct
0.000 0.000 0.000
0.000 0.000 0.385
0.500 0.500 0.682
0.500 0.500 0.203
```

Output
density of states at the Fermi level = 4.6 states/eV per cell
relative energy among the computed polymorphs = 0 meV/atom
DFT formation energy = 1.632 eV/f.u.


A relaxed structure of YbCe2In, computed with PBE-GGA.

Geometry as POSCAR:
```
YbCe2In
1.0
7.798 0.000 0.000
0.000 7.798 0.000
0.000 0.000 7.798
Yb Ce In
4 8 4
Direct
0.000 0.000 0.000
0.000 0.500 0.500
0.500 0.000 0.500
0.500 0.500 0.000
0.250 0.250 0.250
0.250 0.250 0.750
0.250 0.750 0.250
0.250 0.750 0.750
0.750 0.250 0.250
0.750 0.250 0.750
0.750 0.750 0.250
0.750 0.750 0.750
0.000 0.000 0.500
0.000 0.500 0.000
0.500 0.000 0.000
0.500 0.500 0.500
```

Output
density of states at the Fermi level = 59.7 states/eV per cell
DFT formation energy = -0.401 eV/f.u.